(1)
{"formula": "Li2Ac4Pd5", "functional": "PBE", "state": "optimized geometry", "lattice_angstrom": [[-4.6573, 9.9378, 3.0096], [4.6573, -9.9378, 3.0096], [4.6573, 9.9378, -3.0096]], "species": ["Li", "Li", "Li", "Li", "Ac", "Ac", "Ac", "Ac", "Ac", "Ac", "Ac", "Ac", "Pd", "Pd", "Pd", "Pd", "Pd", "Pd", "Pd", "Pd", "Pd", "Pd"], "fractional_positions": [[0.0573, 0.2500, 0.8073], [0.4427, 0.2500, 0.1927], [0.5573, 0.7500, 0.8073], [0.9427, 0.7500, 0.1927], [0.0581, 0.2230, 0.2811], [0.1596, 0.6335, 0.7931], [0.3404, 0.1335, 0.4739], [0.4419, 0.7230, 0.1649], [0.5581, 0.2770, 0.8351], [0.6596, 0.8665, 0.5261], [0.8404, 0.3665, 0.2069], [0.9419, 0.7770, 0.7189], [0.0852, 0.9052, 0.9905], [0.2101, 0.3198, 0.5299], [0.2500, 0.7500, 0.5000], [0.2899, 0.8198, 0.1097], [0.4148, 0.4052, 0.8200], [0.5852, 0.5948, 0.1800], [0.7101, 0.1802, 0.8903], [0.7500, 0.2500, 0.5000], [0.7899, 0.6802, 0.4701], [0.9148, 0.0948, 0.0095]], "sg": "Ibam, No. 72", "formation_energy_mev_per_atom": -596, "total_energy_ev_per_atom": -4.798, "magmom_total_mub_per_cell": 0.0}


(2)
{"formula": "Li4AcPd8", "functional": "PBE", "state": "optimized geometry", "lattice_angstrom": [[-4.5457, 4.5457, 2.5053], [4.5457, -4.5457, 2.5053], [4.5457, 4.5457, -2.5053]], "species": ["Li", "Li", "Li", "Li", "Ac", "Pd", "Pd", "Pd", "Pd", "Pd", "Pd", "Pd", "Pd"], "fractional_positions": [[0.0000, 0.0000, 0.5000], [0.0000, 0.5000, 0.0000], [0.5000, 0.0000, 0.0000], [0.5000, 0.5000, 0.5000], [0.0000, 0.0000, 0.0000], [0.0000, 0.3525, 0.3525], [0.0000, 0.6475, 0.6475], [0.2766, 0.5000, 0.7766], [0.3525, 0.0000, 0.3525], [0.5000, 0.2766, 0.7766], [0.5000, 0.7234, 0.2234], [0.6475, 0.0000, 0.6475], [0.7234, 0.5000, 0.2234]], "sg": "I4/mmm, No. 139", "formation_energy_mev_per_atom": -459, "total_energy_ev_per_atom": -4.560, "magmom_total_mub_per_cell": 0.0}


(3)
{"formula": "Li6AcPd6", "functional": "PBE", "state": "optimized geometry", "lattice_angstrom": [[-2.7132, 4.3036, 4.6792], [2.7132, -4.3036, 4.6792], [2.7132, 4.3036, -4.6792]], "species": ["Li", "Li", "Li", "Li", "Li", "Li", "Ac", "Pd", "Pd", "Pd", "Pd", "Pd", "Pd"], "fractional_positions": [[0.1398, 0.1398, 0.0000], [0.1514, 0.5000, 0.6514], [0.2878, 0.7878, 0.5000], [0.7122, 0.2122, 0.5000], [0.8486, 0.5000, 0.3486], [0.8602, 0.8602, 0.0000], [0.5000, 0.5000, 0.0000], [0.0000, 0.0000, 0.5000], [0.0000, 0.5000, 0.0000], [0.2811, 0.0000, 0.2811], [0.5000, 0.0000, 0.0000], [0.5000, 0.5000, 0.5000], [0.7189, 0.0000, 0.7189]], "sg": "Immm, No. 71", "formation_energy_mev_per_atom": -487, "total_energy_ev_per_atom": -4.083, "magmom_total_mub_per_cell": 0.0}


(4)
{"formula": "Li4Ac3Pd4", "functional": "PBE", "state": "optimized geometry", "lattice_angstrom": [[4.1419, 0.0000, 0.0000], [0.0006, 4.3232, 0.0000], [2.0474, 2.1032, 14.0625]], "species": ["Li", "Li", "Li", "Li", "Ac", "Ac", "Ac", "Pd", "Pd", "Pd", "Pd"], "fractional_positions": [[0.0963, 0.0948, 0.3080], [0.2503, 0.7504, 0.9997], [0.7497, 0.2496, 0.0003], [0.9037, 0.9052, 0.6920], [0.3518, 0.3535, 0.7953], [0.5000, 0.0000, 0.5000], [0.6482, 0.6465, 0.2047], [0.0489, 0.5491, 0.4008], [0.1874, 0.1873, 0.1248], [0.8126, 0.8127, 0.8752], [0.9511, 0.4509, 0.5992]], "sg": "P-1, No. 2", "formation_energy_mev_per_atom": -530, "total_energy_ev_per_atom": -4.235, "magmom_total_mub_per_cell": 0.0, "e_above_lowest_polymorph_ev_per_fu": 0.20}


(5)
{"formula": "Li2Ac3Pd4", "functional": "PBE", "state": "optimized geometry", "lattice_angstrom": [[5.4561, -2.2052, 0.0000], [5.4561, 2.2052, 0.0000], [-1.3708, 0.0000, 9.0293]], "species": ["Li", "Li", "Ac", "Ac", "Ac", "Pd", "Pd", "Pd", "Pd"], "fractional_positions": [[0.1832, 0.1832, 0.2935], [0.8168, 0.8168, 0.7065], [0.1208, 0.1208, 0.8782], [0.5000, 0.5000, 0.5000], [0.8792, 0.8792, 0.1218], [0.2161, 0.2161, 0.5885], [0.4093, 0.4093, 0.8627], [0.5907, 0.5907, 0.1373], [0.7839, 0.7839, 0.4115]], "sg": "C2/m, No. 12", "formation_energy_mev_per_atom": -632, "total_energy_ev_per_atom": -4.734, "magmom_total_mub_per_cell": 0.0, "e_above_lowest_polymorph_ev_per_fu": 0.13}


(6)
{"formula": "Li2Ac3Pd7", "functional": "PBE", "state": "optimized geometry", "lattice_angstrom": [[4.4220, 0.0000, 0.0000], [0.0000, 4.2712, 0.0000], [-2.1771, 0.0000, 13.2598]], "species": ["Li", "Li", "Ac", "Ac", "Ac", "Pd", "Pd", "Pd", "Pd", "Pd", "Pd", "Pd"], "fractional_positions": [[0.1279, 0.0000, 0.2560], [0.8721, 0.0000, 0.7440], [0.0000, 0.0000, 0.0000], [0.3213, 0.5000, 0.6422], [0.6787, 0.5000, 0.3578], [0.0833, 0.5000, 0.1649], [0.2212, 0.0000, 0.4422], [0.4172, 0.0000, 0.8351], [0.5000, 0.5000, 0.0000], [0.5828, 0.0000, 0.1649], [0.7788, 0.0000, 0.5578], [0.9166, 0.5000, 0.8351]], "sg": "P2/m, No. 10", "formation_energy_mev_per_atom": -631, "total_energy_ev_per_atom": -5.006, "magmom_total_mub_per_cell": 0.0, "e_above_lowest_polymorph_ev_per_fu": 0.77}


(7)
{"formula": "Li3Ac2Pd2", "functional": "PBE", "state": "optimized geometry", "lattice_angstrom": [[5.4783, -2.1293, 0.0000], [5.4783, 2.1293, 0.0000], [-1.1415, 0.0000, 7.3644]], "species": ["Li", "Li", "Li", "Ac", "Ac", "Pd", "Pd"], "fractional_positions": [[0.0000, 0.0000, 0.0000], [0.3170, 0.3170, 0.1197], [0.6830, 0.6830, 0.8803], [0.3787, 0.3787, 0.6508], [0.6213, 0.6213, 0.3492], [0.0962, 0.0962, 0.6643], [0.9038, 0.9038, 0.3357]], "sg": "C2/m, No. 12", "formation_energy_mev_per_atom": -425, "total_energy_ev_per_atom": -3.903, "magmom_total_mub_per_cell": 0.0, "e_above_lowest_polymorph_ev_per_fu": 0.02}


(8)
{"formula": "LiAc2Pd5", "functional": "PBE", "state": "optimized geometry", "lattice_angstrom": [[-3.1172, 3.1172, 4.3248], [3.1172, -3.1172, 4.3248], [3.1172, 3.1172, -4.3248]], "species": ["Li", "Ac", "Ac", "Pd", "Pd", "Pd", "Pd", "Pd"], "fractional_positions": [[0.0000, 0.0000, 0.0000], [0.1733, 0.6733, 0.5000], [0.6733, 0.1733, 0.5000], [0.1911, 0.1911, 0.5445], [0.1911, 0.6467, 0.0000], [0.6467, 0.1911, 0.0000], [0.6467, 0.6467, 0.4555], [0.6789, 0.6789, 0.0000]], "sg": "I4mm, No. 107", "formation_energy_mev_per_atom": -691, "total_energy_ev_per_atom": -5.203, "magmom_total_mub_per_cell": 0.0}


(9)
{"formula": "LiAc4Pd", "functional": "PBE", "state": "optimized geometry", "lattice_angstrom": [[-4.9944, 4.9944, 4.9787], [4.9944, -4.9944, 4.9787], [4.9944, 4.9944, -4.9787]], "species": ["Li", "Li", "Ac", "Ac", "Ac", "Ac", "Ac", "Ac", "Ac", "Ac", "Pd", "Pd"], "fractional_positions": [[0.0000, 0.0000, 0.0000], [0.7500, 0.2500, 0.5000], [0.0156, 0.3228, 0.3072], [0.0156, 0.7084, 0.6928], [0.0728, 0.2656, 0.8072], [0.4584, 0.2656, 0.1928], [0.4829, 0.1825, 0.6996], [0.4829, 0.7833, 0.3004], [0.5333, 0.7329, 0.8004], [0.9325, 0.7329, 0.1996], [0.2502, 0.7502, 0.5000], [0.5002, 0.5002, 0.0000]], "sg": "I4_1md, No. 109", "formation_energy_mev_per_atom": 13, "total_energy_ev_per_atom": -3.910, "magmom_total_mub_per_cell": 0.0}


(10)
{"formula": "Li4Ac3Pd4", "functional": "PBE", "state": "optimized geometry", "lattice_angstrom": [[-2.1436, 3.8711, 7.4926], [2.1436, -3.8711, 7.4926], [2.1436, 3.8711, -7.4926]], "species": ["Li", "Li", "Li", "Li", "Ac", "Ac", "Ac", "Pd", "Pd", "Pd", "Pd"], "fractional_positions": [[0.0097, 0.8238, 0.1860], [0.3622, 0.1762, 0.1860], [0.6378, 0.8238, 0.8140], [0.9903, 0.1762, 0.8140], [0.0000, 0.5000, 0.5000], [0.3742, 0.3742, 0.0000], [0.6258, 0.6258, 0.0000], [0.2205, 0.7205, 0.5000], [0.3058, 0.0000, 0.3058], [0.6942, 0.0000, 0.6942], [0.7795, 0.2795, 0.5000]], "sg": "Immm, No. 71", "formation_energy_mev_per_atom": -548, "total_energy_ev_per_atom": -4.253, "magmom_total_mub_per_cell": 0.0, "e_above_lowest_polymorph_ev_per_fu": 0.00}


(11)
{"formula": "LiAc2Pd9", "functional": "PBE", "state": "optimized geometry", "lattice_angstrom": [[2.7513, 1.5884, 9.0621], [-2.7513, 1.5884, 9.0621], [0.0000, -3.1769, 9.0621]], "species": ["Li", "Ac", "Ac", "Pd", "Pd", "Pd", "Pd", "Pd", "Pd", "Pd", "Pd", "Pd"], "fractional_positions": [[0.0000, 0.0000, 0.0000], [0.1331, 0.1331, 0.1331], [0.8669, 0.8669, 0.8669], [0.0803, 0.5841, 0.5841], [0.3330, 0.3330, 0.3330], [0.4159, 0.4159, 0.9197], [0.4159, 0.9197, 0.4159], [0.5000, 0.5000, 0.5000], [0.5841, 0.0803, 0.5841], [0.5841, 0.5841, 0.0803], [0.6670, 0.6670, 0.6670], [0.9197, 0.4159, 0.4159]], "sg": "R-3m, No. 166", "formation_energy_mev_per_atom": -480, "total_energy_ev_per_atom": -5.219, "magmom_total_mub_per_cell": 0.0}


(12)
{"formula": "Li3AcPd3", "functional": "PBE", "state": "optimized geometry", "lattice_angstrom": [[6.5654, 0.0000, 0.0000], [0.0000, 6.5654, 0.0000], [0.0000, 0.0000, 6.5654]], "species": ["Li", "Li", "Li", "Li", "Li", "Li", "Ac", "Ac", "Pd", "Pd", "Pd", "Pd", "Pd", "Pd"], "fractional_positions": [[0.0000, 0.2500, 0.5000], [0.0000, 0.7500, 0.5000], [0.2500, 0.5000, 0.0000], [0.5000, 0.0000, 0.2500], [0.5000, 0.0000, 0.7500], [0.7500, 0.5000, 0.0000], [0.0000, 0.0000, 0.0000], [0.5000, 0.5000, 0.5000], [0.0000, 0.5000, 0.2500], [0.0000, 0.5000, 0.7500], [0.2500, 0.0000, 0.5000], [0.5000, 0.2500, 0.0000], [0.5000, 0.7500, 0.0000], [0.7500, 0.0000, 0.5000]], "sg": "Pm-3n, No. 223", "formation_energy_mev_per_atom": -148, "total_energy_ev_per_atom": -3.781, "magmom_total_mub_per_cell": 0.0, "e_above_lowest_polymorph_ev_per_fu": 2.10}


(13)
{"formula": "Li2AcPmPd5", "functional": "PBE", "state": "optimized geometry", "lattice_angstrom": [[4.5328, 0.0000, 0.0000], [0.0000, 4.5328, 0.0000], [0.0000, 0.0000, 8.2890]], "species": ["Li", "Li", "Ac", "Pm", "Pd", "Pd", "Pd", "Pd", "Pd"], "fractional_positions": [[0.0000, 0.0000, 0.1465], [0.0000, 0.0000, 0.8535], [0.5000, 0.5000, 0.5000], [0.5000, 0.5000, 0.0000], [0.0000, 0.0000, 0.5000], [0.0000, 0.5000, 0.2500], [0.0000, 0.5000, 0.7500], [0.5000, 0.0000, 0.2500], [0.5000, 0.0000, 0.7500]], "sg": "P4/mmm, No. 123", "formation_energy_mev_per_atom": -599, "total_energy_ev_per_atom": -4.893, "magmom_total_mub_per_cell": 0.0}


(14)
{"formula": "LiAcPmPd", "functional": "PBE", "state": "optimized geometry", "lattice_angstrom": [[0.0000, 3.7667, 3.7667], [3.7667, 0.0000, 3.7667], [3.7667, 3.7667, 0.0000]], "species": ["Li", "Ac", "Pm", "Pd"], "fractional_positions": [[0.0000, 0.0000, 0.0000], [0.2500, 0.2500, 0.2500], [0.7500, 0.7500, 0.7500], [0.5000, 0.5000, 0.5000]], "sg": "F-43m, No. 216", "formation_energy_mev_per_atom": -286, "total_energy_ev_per_atom": -4.278, "magmom_total_mub_per_cell": 0.0}


(15)
{"formula": "LiAcPrPd", "functional": "PBE", "state": "optimized geometry", "lattice_angstrom": [[0.0000, 3.7904, 3.7904], [3.7904, 0.0000, 3.7904], [3.7904, 3.7904, 0.0000]], "species": ["Li", "Ac", "Pr", "Pd"], "fractional_positions": [[0.0000, 0.0000, 0.0000], [0.2500, 0.2500, 0.2500], [0.7500, 0.7500, 0.7500], [0.5000, 0.5000, 0.5000]], "sg": "F-43m, No. 216", "formation_energy_mev_per_atom": -278, "total_energy_ev_per_atom": -4.277, "magmom_total_mub_per_cell": 0.0}


(16)
{"formula": "LiAcPdPt", "functional": "PBE", "state": "optimized geometry", "lattice_angstrom": [[2.2045, 1.2728, 5.1412], [-2.2045, 1.2728, 5.1412], [0.0000, -2.5456, 5.1412]], "species": ["Li", "Ac", "Pd", "Pt"], "fractional_positions": [[0.0000, 0.0000, 0.0000], [0.5056, 0.5056, 0.5056], [0.7155, 0.7155, 0.7155], [0.2919, 0.2919, 0.2919]], "sg": "R3m, No. 160", "formation_energy_mev_per_atom": -781, "total_energy_ev_per_atom": -5.095, "magmom_total_mub_per_cell": 0.0, "e_above_lowest_polymorph_ev_per_fu": 0.00}


(17)
{"formula": "Li3Ac2Pd12Pt", "functional": "PBE", "state": "optimized geometry", "lattice_angstrom": [[2.8606, 1.6516, 11.8667], [-2.8606, 1.6516, 11.8667], [0.0000, -3.3031, 11.8667]], "species": ["Li", "Li", "Li", "Ac", "Ac", "Pd", "Pd", "Pd", "Pd", "Pd", "Pd", "Pd", "Pd", "Pd", "Pd", "Pd", "Pd", "Pt"], "fractional_positions": [[0.0000, 0.5000, 0.5000], [0.5000, 0.0000, 0.5000], [0.5000, 0.5000, 0.0000], [0.1379, 0.1379, 0.1379], [0.8621, 0.8621, 0.8621], [0.1066, 0.6085, 0.6085], [0.1093, 0.1093, 0.6363], [0.1093, 0.6363, 0.1093], [0.3637, 0.8907, 0.8907], [0.3915, 0.3915, 0.8934], [0.3915, 0.8934, 0.3915], [0.6085, 0.1066, 0.6085], [0.6085, 0.6085, 0.1066], [0.6363, 0.1093, 0.1093], [0.8907, 0.3637, 0.8907], [0.8907, 0.8907, 0.3637], [0.8934, 0.3915, 0.3915], [0.5000, 0.5000, 0.5000]], "sg": "R-3m, No. 166", "formation_energy_mev_per_atom": -298, "total_energy_ev_per_atom": -4.871, "magmom_total_mub_per_cell": 0.0}


(18)
{"formula": "Li2AcPdPt", "functional": "PBE", "state": "optimized geometry", "lattice_angstrom": [[-2.0273, 2.2237, 5.8490], [2.0273, -2.2237, 5.8490], [2.0273, 2.2237, -5.8490]], "species": ["Li", "Li", "Ac", "Pd", "Pt"], "fractional_positions": [[0.0000, 0.0000, 0.0000], [0.6317, 0.1317, 0.5000], [0.2845, 0.7845, 0.5000], [0.4990, 0.4990, 0.0000], [0.8485, 0.3485, 0.5000]], "sg": "Imm2, No. 44", "formation_energy_mev_per_atom": -598, "total_energy_ev_per_atom": -4.431, "magmom_total_mub_per_cell": 0.0}


(19)
{"formula": "LiAcPdPt", "functional": "PBE", "state": "optimized geometry", "lattice_angstrom": [[0.0000, 3.5315, 3.5315], [3.5315, 0.0000, 3.5315], [3.5315, 3.5315, 0.0000]], "species": ["Li", "Ac", "Pd", "Pt"], "fractional_positions": [[0.0000, 0.0000, 0.0000], [0.5000, 0.5000, 0.5000], [0.2500, 0.2500, 0.2500], [0.7500, 0.7500, 0.7500]], "sg": "F-43m, No. 216", "formation_energy_mev_per_atom": -655, "total_energy_ev_per_atom": -4.969, "magmom_total_mub_per_cell": 0.0, "e_above_lowest_polymorph_ev_per_fu": 0.51}


(20)
{"formula": "LiAc2PdRh", "functional": "PBE", "state": "optimized geometry", "lattice_angstrom": [[4.2750, 0.0000, 0.0000], [0.0000, 4.2750, 0.0000], [0.0000, 0.0000, 14.2963]], "species": ["Li", "Li", "Ac", "Ac", "Ac", "Ac", "Pd", "Pd", "Rh", "Rh"], "fractional_positions": [[0.2500, 0.7500, 0.0000], [0.7500, 0.2500, 0.0000], [0.2500, 0.2500, 0.1912], [0.2500, 0.2500, 0.6075], [0.7500, 0.7500, 0.3925], [0.7500, 0.7500, 0.8088], [0.2500, 0.2500, 0.8670], [0.7500, 0.7500, 0.1330], [0.2500, 0.2500, 0.3900], [0.7500, 0.7500, 0.6100]], "sg": "P4/nmm, No. 129", "formation_energy_mev_per_atom": -618, "total_energy_ev_per_atom": -5.153, "magmom_total_mub_per_cell": 0.0}